Arrangement A

Material: Gd2LuPb
Method: DFT, PBE
State: optimized geometry

a b c (Å): 3.5293 3.5293 12.1872
angles (deg): 81.67 81.67 60.00
Last column: magnetic moment on the atom in μB.
Atoms (fractional coordinates):
Gd1 0.0891 0.0891 0.7326  -7.15
Pb1 0.0000 0.0000 0.0000  0.02
Gd2 0.9109 0.9109 0.2674  -7.15
Lu1 0.5000 0.5000 0.5000  0.08

Calculated density, g/cm3: 8.93
Crystal system: trigonal
Space group: R-3m (166)

Arrangement B

Material: Gd2LuPb
Method: DFT, PBE
State: optimized geometry

a b c (Å): 4.2160 4.2160 6.6814
angles (deg): 90.00 90.00 90.00
Last column: magnetic moment on the atom in μB.
Atoms (fractional coordinates):
Lu1 0.5000 0.5000 0.0000  -0.13
Gd1 0.0000 0.0000 0.2612  -7.20
Gd2 0.0000 0.0000 0.7388  -7.20
Pb1 0.5000 0.5000 0.5000  0.04

Calculated density, g/cm3: 9.74
Crystal system: tetragonal
Space group: P4/mmm (123)

It is arrangement A that is the least stable of them.

Arrangement A

Material: GdLuPd
Method: DFT, PBE
State: optimized geometry

a b c (Å): 3.5396 3.5396 6.4296
angles (deg): 105.98 105.98 90.00
Last column: magnetic moment on the atom in μB.
Atoms (fractional coordinates):
Pd1 0.6769 0.6769 0.3538  0.02
Gd1 0.0199 0.0199 0.0398  7.25
Lu1 0.3032 0.3032 0.6064  0.14

Calculated density, g/cm3: 9.82
Crystal system: tetragonal
Space group: I4mm (107)

Arrangement B

Material: GdLuPd
Method: DFT, PBE
State: optimized geometry

a b c (Å): 4.8638 4.8638 4.8638
angles (deg): 60.00 60.00 60.00
Last column: magnetic moment on the atom in μB.
Atoms (fractional coordinates):
Pd1 0.2500 0.2500 0.2500  -0.01
Lu1 0.5000 0.5000 0.5000  0.04
Gd1 0.0000 0.0000 0.0000  7.05

Calculated density, g/cm3: 8.95
Crystal system: cubic
Space group: F-43m (216)

It is arrangement B that is the least stable of them.

Arrangement A

Material: Pm2GdLu
Method: DFT, PBE
State: optimized geometry

a b c (Å): 3.5989 3.5989 10.0669
angles (deg): 90.00 90.00 90.00
Last column: magnetic moment on the atom in μB.
Atoms (fractional coordinates):
Pm1 0.0000 0.0000 0.7551  0.04
Lu1 0.5000 0.5000 0.0000  0.10
Gd1 0.5000 0.5000 0.5000  -7.18
Pm2 0.0000 0.0000 0.2449  0.04

Calculated density, g/cm3: 7.92
Crystal system: tetragonal
Space group: P4/mmm (123)

Arrangement B

Material: Pm2GdLu
Method: DFT, PBE
State: optimized geometry

a b c (Å): 5.0380 5.0804 5.0804
angles (deg): 90.00 90.00 90.00
Last column: magnetic moment on the atom in μB.
Atoms (fractional coordinates):
Pm1 0.0000 0.5000 0.0000  -0.03
Pm2 0.0000 0.0000 0.5000  -0.03
Lu1 0.5000 0.5000 0.5000  -0.01
Gd1 0.5000 0.0000 0.0000  7.16

Calculated density, g/cm3: 7.95
Crystal system: tetragonal
Space group: P4/mmm (123)

It is arrangement A that is the least stable of them.

Arrangement A

Material: PrGd2Lu
Method: DFT, PBE
State: optimized geometry

a b c (Å): 3.6049 3.6049 10.0551
angles (deg): 90.00 90.00 90.00
Last column: magnetic moment on the atom in μB.
Atoms (fractional coordinates):
Gd1 0.0000 0.0000 0.2415  7.17
Gd2 0.0000 0.0000 0.7585  7.17
Lu1 0.5000 0.5000 0.0000  0.08
Pr1 0.5000 0.5000 0.5000  -0.07

Calculated density, g/cm3: 8.01
Crystal system: tetragonal
Space group: P4/mmm (123)

Arrangement B

Material: PrGd2Lu
Method: DFT, PBE
State: optimized geometry

a b c (Å): 5.0883 5.0521 5.0521
angles (deg): 90.00 90.00 90.00
Last column: magnetic moment on the atom in μB.
Atoms (fractional coordinates):
Gd1 0.0000 0.5000 0.0000  7.16
Gd2 0.0000 0.0000 0.5000  7.16
Lu1 0.5000 0.5000 0.5000  0.01
Pr1 0.5000 0.0000 0.0000  -0.06

Calculated density, g/cm3: 8.06
Crystal system: tetragonal
Space group: P4/mmm (123)

Arrangement C

Material: PrGd2Lu
Method: DFT, PBE
State: optimized geometry

a b c (Å): 5.6974 5.6974 5.6974
angles (deg): 60.00 60.00 60.00
Last column: magnetic moment on the atom in μB.
Atoms (fractional coordinates):
Gd1 0.7500 0.7500 0.7500  7.38
Pr1 0.5000 0.5000 0.5000  0.26
Lu1 0.0000 0.0000 0.0000  0.19
Gd2 0.2500 0.2500 0.2500  7.38

Calculated density, g/cm3: 8.00
Crystal system: cubic
Space group: Fm-3m (225)

It is arrangement C that is the least stable of them.

Arrangement A

Material: PrGdLu
Method: DFT, PBE
State: optimized geometry

a b c (Å): 3.6100 3.6100 7.9534
angles (deg): 103.12 103.12 90.00
Last column: magnetic moment on the atom in μB.
Atoms (fractional coordinates):
Gd1 0.3303 0.3303 0.6607  -7.22
Pr1 0.0023 0.0023 0.0046  0.06
Lu1 0.6674 0.6674 0.3347  -0.01

Calculated density, g/cm3: 8.00
Crystal system: tetragonal
Space group: I4mm (107)

Arrangement B

Material: PrGdLu
Method: DFT, PBE
State: optimized geometry

a b c (Å): 3.4734 5.6981 5.6981
angles (deg): 120.00 90.00 90.00
Last column: magnetic moment on the atom in μB.
Atoms (fractional coordinates):
Pr1 0.6667 0.3333 0.6667  0.00
Gd1 0.1655 0.0000 0.0000  -7.24
Lu1 0.1678 0.6667 0.3333  -0.04

Calculated density, g/cm3: 8.04
Crystal system: trigonal
Space group: P3m1 (156)

It is arrangement B that is the least stable of them.

Arrangement A

Material: Gd2LuPu
Method: DFT, PBE
State: optimized geometry

a b c (Å): 3.4844 3.4844 9.8673
angles (deg): 90.00 90.00 90.00
Last column: magnetic moment on the atom in μB.
Atoms (fractional coordinates):
Gd1 0.0000 0.0000 0.7458  7.08
Pu1 0.5000 0.5000 0.5000  -5.55
Gd2 0.0000 0.0000 0.2542  7.08
Lu1 0.5000 0.5000 0.0000  0.24

Calculated density, g/cm3: 10.17
Crystal system: tetragonal
Space group: P4/mmm (123)

Arrangement B

Material: Gd2LuPu
Method: DFT, PBE
State: optimized geometry

a b c (Å): 4.9194 4.9290 4.9290
angles (deg): 90.00 90.00 90.00
Last column: magnetic moment on the atom in μB.
Atoms (fractional coordinates):
Lu1 0.5000 0.0000 0.0000  -0.10
Gd1 0.0000 0.5000 0.0000  7.06
Gd2 0.0000 0.0000 0.5000  7.06
Pu1 0.5000 0.5000 0.5000  -5.45

Calculated density, g/cm3: 10.19
Crystal system: tetragonal
Space group: P4/mmm (123)

It is arrangement B that is the least stable of them.

Arrangement A

Material: GdLuRh
Method: DFT, PBE
State: optimized geometry

a b c (Å): 4.1954 4.5024 4.5024
angles (deg): 120.00 90.00 90.00
Last column: magnetic moment on the atom in μB.
Atoms (fractional coordinates):
Lu1 0.2473 0.3333 0.6667  0.07
Rh1 0.0256 0.0000 0.0000  -0.03
Gd1 0.7272 0.6667 0.3333  7.08

Calculated density, g/cm3: 9.81
Crystal system: trigonal
Space group: P3m1 (156)

Arrangement B

Material: GdLuRh
Method: DFT, PBE
State: optimized geometry

a b c (Å): 3.4303 3.4303 6.6951
angles (deg): 104.84 104.84 90.00
Last column: magnetic moment on the atom in μB.
Atoms (fractional coordinates):
Rh1 0.6728 0.6728 0.3456  0.03
Lu1 0.2956 0.2956 0.5912  0.05
Gd1 0.0316 0.0316 0.0632  7.06

Calculated density, g/cm3: 9.84
Crystal system: tetragonal
Space group: I4mm (107)

Arrangement C

Material: GdLuRh
Method: DFT, PBE
State: optimized geometry

a b c (Å): 4.7832 4.7832 4.7832
angles (deg): 60.00 60.00 60.00
Last column: magnetic moment on the atom in μB.
Atoms (fractional coordinates):
Lu1 0.5000 0.5000 0.5000  -0.06
Gd1 0.0000 0.0000 0.0000  -7.08
Rh1 0.2500 0.2500 0.2500  0.04

Calculated density, g/cm3: 9.34
Crystal system: cubic
Space group: F-43m (216)

It is arrangement A that is the least stable of them.

Arrangement A

Material: Gd2LuRu
Method: DFT, PBE
State: optimized geometry

a b c (Å): 3.4939 3.4939 10.7185
angles (deg): 80.62 80.62 60.00
Last column: magnetic moment on the atom in μB.
Atoms (fractional coordinates):
Ru1 0.5000 0.5000 0.5000  -0.19
Gd1 0.8948 0.8948 0.3156  7.17
Lu1 0.0000 0.0000 0.0000  0.08
Gd2 0.1052 0.1052 0.6844  7.17

Calculated density, g/cm3: 8.81
Crystal system: trigonal
Space group: R-3m (166)

Arrangement B

Material: Gd2LuRu
Method: DFT, PBE
State: optimized geometry

a b c (Å): 3.4457 3.4457 8.8575
angles (deg): 90.00 90.00 90.00
Last column: magnetic moment on the atom in μB.
Atoms (fractional coordinates):
Gd1 0.0000 0.0000 0.1895  7.07
Lu1 0.5000 0.5000 0.5000  0.19
Ru1 0.5000 0.5000 0.0000  -0.15
Gd2 0.0000 0.0000 0.8105  7.07

Calculated density, g/cm3: 9.32
Crystal system: tetragonal
Space group: P4/mmm (123)

It is arrangement A that is the least stable of them.